Entry from Alexandria: a relaxed Sm4Sn2O crystal (PBE).

Geometry as POSCAR:
```
Sm4Sn2O
1.0
6.527 0.000 0.000
0.000 6.820 0.000
-3.267 0.000 8.784
Sm Sn O
8 4 2
Direct
0.034 0.003 0.292 Sm
0.034 0.497 0.292 Sm
0.355 0.250 0.049 Sm
0.434 0.250 0.658 Sm
0.566 0.750 0.342 Sm
0.645 0.750 0.951 Sm
0.966 0.503 0.708 Sm
0.966 0.997 0.708 Sm
0.192 0.750 0.028 Sn
0.335 0.750 0.597 Sn
0.665 0.250 0.403 Sn
0.808 0.250 0.972 Sn
0.199 0.250 0.789 O
0.801 0.750 0.211 O
```

Computed properties:
Calculated total energy   -5.8297 eV/atom
Relative energy among the computed polymorphs   5.6 meV/atom
SG   No. 11
DOS(E_F)   5.78 states/eV/f.u.
Total moment   0.0 μB per formula unit
Formation energy (no corrections)   -1281 meV per atom

Entry from Alexandria: a relaxed Sm4Sn2O crystal (PBE).

Geometry as POSCAR:
```
Sm4Sn2O
1.0
-2.346 2.346 8.559
2.346 -2.346 8.559
2.346 2.346 -8.559
Sm Sn O
4 2 1
Direct
0.000 0.500 0.500 Sm
0.174 0.174 0.000 Sm
0.500 0.000 0.500 Sm
0.826 0.826 0.000 Sm
0.361 0.361 0.000 Sn
0.639 0.639 0.000 Sn
0.000 0.000 0.000 O
```

Computed properties:
Calculated total energy   -5.8354 eV/atom
Relative energy among the computed polymorphs   0.0 meV/atom
SG   No. 139
DOS(E_F)   6.89 states/eV/f.u.
Total moment   0.8 μB per formula unit
Formation energy (no corrections)   -1287 meV per atom

Entry from Alexandria: a relaxed Tb2Sm4Sn3O2 crystal (PBE).

Geometry as POSCAR:
```
Tb2Sm4Sn3O2
1.0
-2.375 2.375 12.671
2.375 -2.375 12.671
2.375 2.375 -12.671
Tb Sm Sn O
2 4 3 2
Direct
0.194 0.194 0.000 Tb
0.806 0.806 0.000 Tb
0.083 0.583 0.500 Sm
0.417 0.917 0.500 Sm
0.583 0.083 0.500 Sm
0.917 0.417 0.500 Sm
0.321 0.321 0.000 Sn
0.500 0.500 0.000 Sn
0.679 0.679 0.000 Sn
0.103 0.103 0.000 O
0.897 0.897 0.000 O
```

Computed properties:
Calculated total energy   -6.0381 eV/atom
SG   No. 139
DOS(E_F)   5.12 states/eV/f.u.
Total moment   0.0 μB per formula unit
Formation energy (no corrections)   -1487 meV per atom

Entry from Alexandria: a relaxed Tb4Sm2Sn3O2 crystal (PBE).

Geometry as POSCAR:
```
Tb4Sm2Sn3O2
1.0
-2.339 2.339 12.693
2.339 -2.339 12.693
2.339 2.339 -12.693
Tb Sm Sn O
4 2 3 2
Direct
0.083 0.583 0.500 Tb
0.417 0.917 0.500 Tb
0.583 0.083 0.500 Tb
0.917 0.417 0.500 Tb
0.194 0.194 0.000 Sm
0.806 0.806 0.000 Sm
0.323 0.323 0.000 Sn
0.500 0.500 0.000 Sn
0.677 0.677 0.000 Sn
0.096 0.096 0.000 O
0.904 0.904 0.000 O
```

Computed properties:
Calculated total energy   -6.0628 eV/atom
SG   No. 139
DOS(E_F)   7.09 states/eV/f.u.
Total moment   0.0 μB per formula unit
Formation energy (no corrections)   -1528 meV per atom

Entry from Alexandria: a relaxed Sm4Tm2Sn3O2 crystal (PBE).

Geometry as POSCAR:
```
Sm4Tm2Sn3O2
1.0
-2.372 2.372 12.525
2.372 -2.372 12.525
2.372 2.372 -12.525
Sm Tm Sn O
4 2 3 2
Direct
0.084 0.584 0.500 Sm
0.416 0.916 0.500 Sm
0.584 0.084 0.500 Sm
0.916 0.416 0.500 Sm
0.194 0.194 0.000 Tm
0.806 0.806 0.000 Tm
0.319 0.319 0.000 Sn
0.500 0.500 0.000 Sn
0.681 0.681 0.000 Sn
0.106 0.106 0.000 O
0.894 0.894 0.000 O
```

Computed properties:
Calculated total energy   -5.9885 eV/atom
SG   No. 139
DOS(E_F)   5.36 states/eV/f.u.
Total moment   0.0 μB per formula unit
Formation energy (no corrections)   -1466 meV per atom

Entry from Alexandria: a relaxed SrSm2O4 crystal (PBE).

Geometry as POSCAR:
```
SrSm2O4
1.0
0.000 5.034 5.034
5.034 0.000 5.034
5.034 5.034 0.000
Sr Sm O
2 4 8
Direct
0.125 0.125 0.125 Sr
0.875 0.875 0.875 Sr
0.000 0.500 0.500 Sm
0.500 0.000 0.500 Sm
0.500 0.500 0.000 Sm
0.500 0.500 0.500 Sm
0.265 0.265 0.265 O
0.265 0.265 0.704 O
0.265 0.704 0.265 O
0.296 0.735 0.735 O
0.704 0.265 0.265 O
0.735 0.296 0.735 O
0.735 0.735 0.296 O
0.735 0.735 0.735 O
```

Computed properties:
Calculated total energy   -7.6414 eV/atom
Relative energy among the computed polymorphs   0.0 meV/atom
SG   No. 227
DOS(E_F)   0.00 states/eV/f.u.
Total moment   0.0 μB per formula unit
Formation energy (no corrections)   -3220 meV per atom

Entry from Alexandria: a relaxed SrSm2O4 crystal (PBE).

Geometry as POSCAR:
```
SrSm2O4
1.0
1.734 -5.765 0.000
1.734 5.765 0.000
0.000 0.000 11.396
Sr Sm O
2 4 8
Direct
0.112 0.888 0.750 Sr
0.888 0.112 0.250 Sr
0.367 0.633 0.574 Sm
0.367 0.633 0.926 Sm
0.633 0.367 0.074 Sm
0.633 0.367 0.426 Sm
0.000 0.000 0.000 O
0.000 0.000 0.500 O
0.264 0.736 0.110 O
0.264 0.736 0.390 O
0.462 0.538 0.750 O
0.538 0.462 0.250 O
0.736 0.264 0.610 O
0.736 0.264 0.890 O
```

Computed properties:
Calculated total energy   -7.6110 eV/atom
Relative energy among the computed polymorphs   30.4 meV/atom
SG   No. 63
DOS(E_F)   0.00 states/eV/f.u.
Total moment   0.0 μB per formula unit
Formation energy (no corrections)   -3189 meV per atom

Entry from Alexandria: a relaxed SrSmO crystal (PBE).

Geometry as POSCAR:
```
SrSmO
1.0
3.923 0.000 0.000
-1.962 3.398 0.000
0.000 0.000 7.301
Sr Sm O
1 1 1
Direct
0.000 0.000 0.000 Sr
0.667 0.333 0.500 Sm
0.333 0.667 0.500 O
```

Computed properties:
Calculated total energy   -5.3907 eV/atom
Relative energy among the computed polymorphs   224.9 meV/atom
SG   No. 187
DOS(E_F)   2.14 states/eV/f.u.
Total moment   0.0 μB per formula unit
Formation energy (no corrections)   -1604 meV per atom

Entry from Alexandria: a relaxed SrSmO2 crystal (PBE).

Geometry as POSCAR:
```
SrSmO2
1.0
1.776 1.025 5.953
-1.776 1.025 5.953
0.000 -2.051 5.953
Sr Sm O
1 1 2
Direct
0.000 0.000 0.000 Sr
0.500 0.500 0.500 Sm
0.245 0.245 0.245 O
0.755 0.755 0.755 O
```

Computed properties:
Calculated total energy   -6.7999 eV/atom
Relative energy among the computed polymorphs   0.0 meV/atom
SG   No. 166
DOS(E_F)   0.80 states/eV/f.u.
Total moment   0.0 μB per formula unit
Formation energy (no corrections)   -2721 meV per atom

Entry from Alexandria: a relaxed SrSm2O4 crystal (PBE).

Geometry as POSCAR:
```
SrSm2O4
1.0
10.291 0.000 0.000
0.000 3.531 0.000
0.000 0.000 12.255
Sr Sm O
4 8 16
Direct
0.248 0.250 0.147 Sr
0.252 0.750 0.647 Sr
0.748 0.250 0.353 Sr
0.752 0.750 0.853 Sr
0.074 0.250 0.887 Sm
0.083 0.250 0.389 Sm
0.417 0.750 0.889 Sm
0.426 0.750 0.387 Sm
0.574 0.250 0.613 Sm
0.583 0.250 0.111 Sm
0.917 0.750 0.611 Sm
0.926 0.750 0.113 Sm
0.007 0.750 0.785 O
0.073 0.250 0.580 O
0.131 0.750 0.019 O
0.215 0.750 0.319 O
0.285 0.250 0.819 O
0.369 0.250 0.519 O
0.427 0.750 0.080 O
0.493 0.250 0.285 O
0.507 0.750 0.715 O
0.573 0.250 0.920 O
0.631 0.750 0.481 O
0.715 0.750 0.181 O
0.785 0.250 0.681 O
0.869 0.250 0.981 O
0.927 0.750 0.420 O
0.993 0.250 0.215 O
```

Computed properties:
Calculated total energy   -7.6362 eV/atom
Relative energy among the computed polymorphs   5.2 meV/atom
SG   No. 62
DOS(E_F)   0.00 states/eV/f.u.
Total moment   0.0 μB per formula unit
Formation energy (no corrections)   -3214 meV per atom

Entry from Alexandria: a relaxed SrSmO crystal (PBE).

Geometry as POSCAR:
```
SrSmO
1.0
12.793 -2.041 0.000
12.793 2.041 0.000
-0.306 0.000 8.038
Sr Sm O
4 4 4
Direct
0.067 0.067 0.353 Sr
0.426 0.426 0.143 Sr
0.574 0.574 0.857 Sr
0.933 0.933 0.647 Sr
0.207 0.207 0.120 Sm
0.207 0.207 0.620 Sm
0.793 0.793 0.380 Sm
0.793 0.793 0.880 Sm
0.250 0.250 0.374 O
0.250 0.250 0.876 O
0.750 0.750 0.124 O
0.750 0.750 0.626 O
```

Computed properties:
Calculated total energy   -5.6156 eV/atom
Relative energy among the computed polymorphs   0.0 meV/atom
SG   No. 12
DOS(E_F)   2.85 states/eV/f.u.
Total moment   0.1 μB per formula unit
Formation energy (no corrections)   -1829 meV per atom

Entry from Alexandria: a relaxed SrSmO2 crystal (PBE).

Geometry as POSCAR:
```
SrSmO2
1.0
1.753 1.012 6.195
-1.753 1.012 6.195
0.000 -2.024 6.195
Sr Sm O
1 1 2
Direct
0.000 0.000 0.000 Sr
0.174 0.174 0.174 Sm
0.582 0.582 0.582 O
0.762 0.762 0.762 O
```

Computed properties:
Calculated total energy   -6.6676 eV/atom
Relative energy among the computed polymorphs   132.2 meV/atom
SG   No. 160
DOS(E_F)   1.57 states/eV/f.u.
Total moment   0.0 μB per formula unit
Formation energy (no corrections)   -2588 meV per atom

- Look up the total moment of the fifth one.
  0.0 μB per formula unit

- Which value of DOS(E_F) does entry 11 give?
  2.85 states/eV/f.u.